No. 1
VASP calculation (GGA-PBE) on an optimized crystal structure of LaCe2Ge2Pt2.

```
data_LaCe2Ge2Pt2
_cell_length_a 4.434
_cell_length_b 4.434
_cell_length_c 9.507
_cell_angle_alpha 76.51
_cell_angle_beta 76.51
_cell_angle_gamma 60.00
_space_group_name_H-M_alt 'P 1'
_space_group_IT_number 1
_space_group_name_Hall 'P 1'
loop_
_atom_site_label
_atom_site_type_symbol
_atom_site_fract_x
_atom_site_fract_y
_atom_site_fract_z
Pt1 Pt 0.413 0.413 0.760
Ce1 Ce 0.139 0.139 0.584
Pt2 Pt 0.587 0.587 0.240
Ge1 Ge 0.259 0.259 0.223
La1 La 0.000 0.000 0.000
Ce2 Ce 0.861 0.861 0.416
Ge2 Ge 0.741 0.741 0.777
```

Properties
The value obtained for the magnetization is 1.10 μB per formula unit.


No. 2
VASP calculation (GGA-PBE) on an optimized crystal structure of LaCeGe2Rh5.

```
data_LaCeGe2Rh5
_cell_length_a 4.237
_cell_length_b 4.237
_cell_length_c 9.071
_cell_angle_alpha 90.00
_cell_angle_beta 90.00
_cell_angle_gamma 90.00
_space_group_name_H-M_alt 'P 1'
_space_group_IT_number 1
_space_group_name_Hall 'P 1'
loop_
_atom_site_label
_atom_site_type_symbol
_atom_site_fract_x
_atom_site_fract_y
_atom_site_fract_z
Rh1 Rh 0.500 0.500 0.500
Rh2 Rh 0.000 0.500 0.735
Rh3 Rh 0.500 0.000 0.265
La1 La 0.000 0.000 0.500
Rh4 Rh 0.500 0.000 0.735
Ge1 Ge 0.500 0.500 0.860
Ce1 Ce 0.000 0.000 0.000
Rh5 Rh 0.000 0.500 0.265
Ge2 Ge 0.500 0.500 0.140
```

Properties
The value obtained for the magnetization is 0.16 μB per formula unit.


Number 1: E -6.375 eV per atom, formation enthalpy at 0 K -0.930 eV/atom. Number 2: E -7.032 eV per atom, formation enthalpy at 0 K -0.715 eV/atom.